Record 1
Entry from the Alexandria database: a geometry-optimized MnInTc3 structure (PBEsol).

## Properties
The raw total energy is -6.684 eV/atom. The formation energy comes out at 2.624 eV/atom. Its magnetic moment is 0.09 μB per cell.

The structure in CIF format:
```
data_MnInTc3
_symmetry_space_group_name_H-M 'P m -3 m'
_symmetry_Int_Tables_number 221
_symmetry_space_group_name_Hall '-P 4 2 3'
_cell_length_a 4.776
_cell_length_b 4.776
_cell_length_c 4.776
_cell_angle_alpha 90.00
_cell_angle_beta 90.00
_cell_angle_gamma 90.00
loop_
_atom_site_label
_atom_site_type_symbol
_atom_site_fract_x
_atom_site_fract_y
_atom_site_fract_z
_atom_site_occupancy
Mn1 Mn 0.000 0.000 0.000 1
In1 In 0.500 0.500 0.500 1
Tc1 Tc 0.000 0.500 0.500 1
```

***

Record 2
Entry from the Alexandria database: a geometry-optimized MnInTc2 structure (PBEsol).

## Properties
The raw total energy is -8.547 eV/atom. The formation energy comes out at 0.272 eV/atom. Its magnetic moment is 4.86 μB per cell.

The structure in CIF format:
```
data_MnInTc2
_symmetry_space_group_name_H-M 'I m m 2'
_symmetry_Int_Tables_number 44
_cell_length_a 3.194
_cell_length_b 4.359
_cell_length_c 8.533
_cell_angle_alpha 90.00
_cell_angle_beta 90.00
_cell_angle_gamma 90.00
loop_
_symmetry_equiv_pos_as_xyz
'x,y,z'
'-x,-y,z'
'-x,y,z'
'x,-y,z'
'x+1/2,y+1/2,z+1/2'
'-x+1/2,-y+1/2,z+1/2'
'-x+1/2,y+1/2,z+1/2'
'x+1/2,-y+1/2,z+1/2'
loop_
_atom_site_label
_atom_site_type_symbol
_atom_site_fract_x
_atom_site_fract_y
_atom_site_fract_z
_atom_site_occupancy
Mn1 Mn 0.000 0.000 0.000 1
In1 In 0.000 0.500 0.243 1
Tc1 Tc 0.000 0.000 0.477 1
Tc2 Tc 0.000 0.500 0.738 1
```

***

Record 3
Entry from the Alexandria database: a geometry-optimized MnInTc2 structure (PBEsol).

## Properties
The raw total energy is -8.588 eV/atom. The formation energy comes out at 0.232 eV/atom. Its magnetic moment is 2.91 μB per cell.

The structure in CIF format:
```
data_MnInTc2
_symmetry_space_group_name_H-M 'P m m 2'
_symmetry_Int_Tables_number 25
_cell_length_a 2.838
_cell_length_b 3.776
_cell_length_c 5.619
_cell_angle_alpha 90.00
_cell_angle_beta 90.00
_cell_angle_gamma 90.00
loop_
_symmetry_equiv_pos_as_xyz
'x,y,z'
'-x,-y,z'
'-x,y,z'
'x,-y,z'
loop_
_atom_site_label
_atom_site_type_symbol
_atom_site_fract_x
_atom_site_fract_y
_atom_site_fract_z
_atom_site_occupancy
Mn1 Mn 0.000 0.000 0.000 1
In1 In 0.500 0.500 0.735 1
Tc1 Tc 0.000 0.000 0.441 1
Tc2 Tc 0.500 0.500 0.233 1
```

***

Record 4
Entry from the Alexandria database: a geometry-optimized MnInTe2 structure (PBEsol).

## Properties
The raw total energy is -4.773 eV/atom. Its magnetic moment is 0.00 μB per cell. The formation energy from raw total energies is 0.176 eV per atom.

The structure in CIF format:
```
data_MnInTe2
_symmetry_space_group_name_H-M 'P 4 m m'
_symmetry_Int_Tables_number 99
_cell_length_a 3.081
_cell_length_b 3.081
_cell_length_c 9.406
_cell_angle_alpha 90.00
_cell_angle_beta 90.00
_cell_angle_gamma 90.00
loop_
_symmetry_equiv_pos_as_xyz
'x,y,z'
'-y,x,z'
'-x,-y,z'
'y,-x,z'
'-x,y,z'
'y,x,z'
'x,-y,z'
'-y,-x,z'
loop_
_atom_site_label
_atom_site_type_symbol
_atom_site_fract_x
_atom_site_fract_y
_atom_site_fract_z
_atom_site_occupancy
Mn1 Mn 0.000 0.000 0.000 1
In1 In 0.500 0.500 0.814 1
Te1 Te 0.000 0.000 0.506 1
Te2 Te 0.500 0.500 0.152 1
```

***

Record 5
Entry from the Alexandria database: a geometry-optimized MnInTe3 structure (PBEsol).

## Properties
The raw total energy is -3.813 eV/atom. Its magnetic moment is 5.09 μB per cell. The formation energy from raw total energies is 0.851 eV per atom.

The structure in CIF format:
```
data_MnInTe3
_symmetry_space_group_name_H-M 'P m -3 m'
_symmetry_Int_Tables_number 221
_symmetry_space_group_name_Hall '-P 4 2 3'
_cell_length_a 5.553
_cell_length_b 5.553
_cell_length_c 5.553
_cell_angle_alpha 90.00
_cell_angle_beta 90.00
_cell_angle_gamma 90.00
loop_
_atom_site_label
_atom_site_type_symbol
_atom_site_fract_x
_atom_site_fract_y
_atom_site_fract_z
_atom_site_occupancy
Mn1 Mn 0.000 0.000 0.000 1
In1 In 0.500 0.500 0.500 1
Te1 Te 0.000 0.500 0.500 1
```

***

Record 6
Entry from the Alexandria database: a geometry-optimized MnInTe2 structure (PBEsol).

## Properties
The raw total energy is -4.822 eV/atom. Its magnetic moment is 8.36 μB per cell. The formation energy from raw total energies is 0.127 eV per atom.

The structure in CIF format:
```
data_MnInTe2
_symmetry_space_group_name_H-M 'C m m m'
_symmetry_Int_Tables_number 65
_symmetry_space_group_name_Hall '-C 2 2'
_cell_length_a 4.095
_cell_length_b 6.011
_cell_length_c 8.418
_cell_angle_alpha 90.00
_cell_angle_beta 90.00
_cell_angle_gamma 90.00
loop_
_atom_site_label
_atom_site_type_symbol
_atom_site_fract_x
_atom_site_fract_y
_atom_site_fract_z
_atom_site_occupancy
Mn1 Mn 0.000 0.000 0.000 1
In1 In 0.000 0.000 0.500 1
Te1 Te 0.000 0.500 0.210 1
```

***

Record 7
Entry from the Alexandria database: a geometry-optimized YMnInTe2 structure (PBEsol).

## Properties
The raw total energy is -5.383 eV/atom. Its magnetic moment is 3.14 μB per cell. The formation energy from raw total energies is -0.059 eV per atom.

The structure in CIF format:
```
data_YMnInTe2
_symmetry_space_group_name_H-M 'P 4/m m m'
_symmetry_Int_Tables_number 123
_symmetry_space_group_name_Hall '-P 4 2'
_cell_length_a 5.196
_cell_length_b 5.196
_cell_length_c 4.888
_cell_angle_alpha 90.00
_cell_angle_beta 90.00
_cell_angle_gamma 90.00
loop_
_atom_site_label
_atom_site_type_symbol
_atom_site_fract_x
_atom_site_fract_y
_atom_site_fract_z
_atom_site_occupancy
Y1 Y 0.000 0.000 0.000 1
Mn1 Mn 0.500 0.500 0.500 1
In1 In 0.500 0.500 0.000 1
Te1 Te 0.000 0.500 0.500 1
```

***

Record 8
Entry from the Alexandria database: a geometry-optimized MnTl2In structure (PBEsol).

## Properties
The raw total energy is -4.104 eV/atom. The formation energy comes out at 0.397 eV/atom. Its magnetic moment is 7.82 μB per cell.

The structure in CIF format:
```
data_MnTl2In
_symmetry_space_group_name_H-M 'I -4 m 2'
_symmetry_Int_Tables_number 119
_symmetry_space_group_name_Hall 'I -4 -2'
_cell_length_a 4.373
_cell_length_b 4.373
_cell_length_c 9.503
_cell_angle_alpha 90.00
_cell_angle_beta 90.00
_cell_angle_gamma 90.00
loop_
_atom_site_label
_atom_site_type_symbol
_atom_site_fract_x
_atom_site_fract_y
_atom_site_fract_z
_atom_site_occupancy
Mn1 Mn 0.000 0.000 0.000 1
Tl1 Tl 0.000 0.000 0.500 1
Tl2 Tl 0.000 0.500 0.250 1
In1 In 0.000 0.500 0.750 1
```

***

Which of these has the highest raw total energy? MnInTe3